Computed, not measured: a geometry-optimized BaClO2 structure at the GGA-PBE level of DFT.

## Properties
raw formation energy	-3.19	eV/f.u.
SG	Fm-3m

Structure (extended XYZ):
```
4
Lattice="2.793 -3.751 -0.580 -0.397 -3.702 2.889 -1.799 -4.053 -1.597" Properties=species:S:1:pos:R:3 pbc="T T T"
O 0.149 -2.877 0.178
O 0.448 -8.630 0.534
Ba 0.299 -5.753 0.356
Cl 0.000 0.000 0.000
```

Computed, not measured: a geometry-optimized BaCl2O structure at the GGA-PBE level of DFT.

## Properties
raw formation energy	-4.98	eV/f.u.
SG	R-3m

Structure (extended XYZ):
```
4
Lattice="-3.987 -2.933 -2.155 -1.159 -5.064 1.467 -4.478 -1.427 2.656" Properties=species:S:1:pos:R:3 pbc="T T T"
Cl -7.319 -7.167 1.498
Cl -2.305 -2.257 0.472
O -4.812 -4.712 0.985
Ba 0.000 0.000 0.000
```

Computed, not measured: a geometry-optimized Ba2ClO2 structure at the GGA-PBE level of DFT.

## Properties
raw formation energy	-11.24	eV/f.u.
SG	C2/m

Structure (extended XYZ):
```
10
Lattice="4.486 0.000 0.000 0.000 7.469 -0.433 -2.243 -2.488 7.911" Properties=species:S:1:pos:R:3 pbc="T T T"
O 3.364 3.366 2.777
O 1.122 -0.369 2.993
O -1.121 1.616 4.701
O 1.121 5.351 4.485
Ba 3.365 0.811 2.190
Ba 1.122 0.436 5.505
Ba -1.122 4.170 5.289
Ba 1.121 4.546 1.973
Cl 3.364 5.602 -0.325
Cl 1.122 1.867 -0.108
```

Computed, not measured: a geometry-optimized Ba3ClO2 structure at the GGA-PBE level of DFT.

## Properties
raw formation energy	-13.62	eV/f.u.
SG	P2_1/m

Structure (extended XYZ):
```
12
Lattice="4.330 0.000 0.000 0.000 7.608 0.786 0.000 -2.316 12.359" Properties=species:S:1:pos:R:3 pbc="T T T"
Ba 1.082 2.769 1.610
Ba 1.082 -0.697 9.796
Ba 3.247 4.885 7.315
Ba 3.247 2.523 11.536
Ba 1.082 0.407 5.831
Ba 3.247 5.989 3.350
O 3.247 -0.712 4.932
O 1.082 1.165 11.518
O 1.082 6.004 8.214
O 3.247 4.127 1.628
Cl 1.082 3.746 4.859
Cl 3.247 1.546 8.287
```

Computed, not measured: a geometry-optimized Ba3Cl2O2 structure at the GGA-PBE level of DFT.

## Properties
raw formation energy	-17.38	eV/f.u.
SG	Pnma

Structure (extended XYZ):
```
28
Lattice="6.435 0.000 0.000 0.000 10.773 0.000 0.000 0.000 12.537" Properties=species:S:1:pos:R:3 pbc="T T T"
Ba 4.827 10.256 11.455
Ba 4.827 7.121 8.820
Ba 4.827 3.282 12.132
Ba 1.609 1.734 9.985
Ba 4.827 5.904 5.187
Ba 4.827 2.104 5.864
Ba 1.609 0.517 1.081
Ba 1.609 7.491 0.405
Ba 1.609 4.869 7.350
Ba 1.609 3.652 3.717
Ba 4.827 9.038 2.552
Ba 1.609 8.669 6.673
Cl 1.609 0.466 4.571
Cl 4.827 5.853 1.697
Cl 1.609 7.067 3.644
Cl 4.827 3.706 8.893
Cl 1.609 4.920 10.840
Cl 4.827 10.307 7.966
Cl 4.827 1.680 2.624
Cl 1.609 9.093 9.912
O 0.011 3.912 5.482
O 0.011 1.475 11.750
O 6.425 9.298 0.787
O 6.425 6.861 7.055
O 3.228 9.298 0.787
O 3.207 3.912 5.482
O 3.228 6.861 7.055
O 3.207 1.475 11.750
```

Computed, not measured: a geometry-optimized Ba6ClO5 structure at the GGA-PBE level of DFT.

## Properties
raw formation energy	-27.99	eV/f.u.
SG	C2/m

Structure (extended XYZ):
```
12
Lattice="-5.862 -3.774 0.651 1.182 -6.616 -2.109 2.204 -4.832 4.631" Properties=species:S:1:pos:R:3 pbc="T T T"
Ba -3.381 -7.575 -1.071
Ba 0.973 -10.063 1.183
Ba -0.051 -6.345 0.709
Ba -2.424 -8.877 2.464
Ba -3.449 -5.159 1.991
Ba -1.299 -2.815 -0.386
Cl 0.000 0.000 0.000
O -1.217 -9.005 0.089
O 1.138 -3.825 0.875
O -1.258 -6.217 3.084
O 2.248 -7.623 1.647
O -2.340 -5.195 -0.729
```

Computed, not measured: a geometry-optimized BaCl2O structure at the GGA-PBE level of DFT.

## Properties
raw formation energy	-5.48	eV/f.u.
SG	Pnma

Structure (extended XYZ):
```
16
Lattice="5.160 0.000 0.000 0.000 8.170 0.000 0.000 0.000 11.174" Properties=species:S:1:pos:R:3 pbc="T T T"
Cl 3.870 7.321 1.233
Cl 3.870 2.915 1.313
Cl 3.870 1.170 6.901
Cl 1.290 7.000 4.274
Cl 1.290 5.255 9.861
Cl 1.290 0.848 9.942
Cl 3.870 4.933 6.820
Cl 1.290 3.236 4.355
Ba 1.290 3.020 7.575
Ba 3.870 5.150 3.599
Ba 3.870 7.104 9.187
Ba 1.290 1.065 1.988
O 1.290 5.156 2.685
O 3.870 1.071 2.902
O 1.290 7.098 8.273
O 3.870 3.013 8.489
```

Computed, not measured: a geometry-optimized BaClO2 structure at the GGA-PBE level of DFT.

## Properties
raw formation energy	-6.33	eV/f.u.
SG	P2/m

Structure (extended XYZ):
```
4
Lattice="3.894 0.000 -1.227 0.000 5.060 0.000 0.110 0.000 4.915" Properties=species:S:1:pos:R:3 pbc="T T T"
O 2.506 0.000 1.397
O 1.498 0.000 2.291
Cl 1.947 2.530 -0.614
Ba 0.000 0.000 0.000
```

Computed, not measured: a geometry-optimized Ba3ClO structure at the GGA-PBE level of DFT.

## Properties
raw formation energy	-6.37	eV/f.u.
SG	Pm-3m

Structure (extended XYZ):
```
5
Lattice="5.542 0.000 0.000 0.000 5.542 0.000 0.000 0.000 5.542" Properties=species:S:1:pos:R:3 pbc="T T T"
O 0.000 0.000 0.000
Ba 0.000 2.771 0.000
Ba 2.771 0.000 0.000
Ba 0.000 0.000 2.771
Cl 2.771 2.771 2.771
```

Computed, not measured: a geometry-optimized Ba3Cl2O2 structure at the GGA-PBE level of DFT.

## Properties
raw formation energy	-17.68	eV/f.u.
SG	C2/m

Structure (extended XYZ):
```
7
Lattice="4.327 0.000 0.000 0.000 7.556 -0.129 -2.164 -2.538 6.830" Properties=species:S:1:pos:R:3 pbc="T T T"
O 2.164 2.713 4.654
O 0.000 2.305 2.047
Cl 2.164 5.452 1.579
Cl 0.000 -0.434 5.122
Ba 0.000 3.778 -0.064
Ba 2.164 1.068 2.665
Ba 0.000 3.950 4.036
```

Computed, not measured: a geometry-optimized BaCl2O2 structure at the GGA-PBE level of DFT.

## Properties
raw formation energy	-3.26	eV/f.u.
SG	P2_1/c

Structure (extended XYZ):
```
20
Lattice="9.630 0.000 0.000 0.000 5.545 -0.349 0.000 5.047 8.539" Properties=species:S:1:pos:R:3 pbc="T T T"
Ba 7.735 3.947 3.153
Ba 2.920 4.122 0.767
Ba 1.895 6.646 5.036
Ba 6.709 6.471 7.423
Cl 4.652 8.501 5.552
Cl 8.340 6.886 4.571
Cl 0.162 5.978 1.282
Cl 4.977 2.091 2.637
Cl 6.105 4.362 0.302
Cl 9.467 4.615 6.907
Cl 1.290 3.707 3.618
Cl 3.525 6.231 7.887
O 6.360 4.631 5.406
O 8.085 2.107 1.137
O 2.075 1.669 1.970
O 3.270 5.962 2.783
O 7.554 8.924 6.219
O 6.890 6.400 1.950
O 2.740 4.193 6.240
O 1.545 8.485 7.053
```

Computed, not measured: a geometry-optimized Ba3Cl2O2 structure at the GGA-PBE level of DFT.

## Properties
raw formation energy	-17.44	eV/f.u.
SG	Pnma

Structure (extended XYZ):
```
28
Lattice="-4.202 4.711 1.177 -5.473 -4.191 -2.765 -3.301 -7.369 17.708" Properties=species:S:1:pos:R:3 pbc="T T T"
Cl -3.579 -1.745 2.967
Cl -7.344 -8.221 15.442
Cl -5.633 1.372 0.678
Cl -4.255 -4.684 12.313
Cl -7.561 -5.967 5.645
Cl -9.398 -5.104 13.153
Cl -5.416 -0.883 10.475
Cl -8.722 -2.165 3.807
O -9.238 -1.971 9.896
O -7.149 -4.314 9.310
O -5.828 -2.535 6.810
O -5.513 -4.715 16.657
O -3.423 -7.058 16.072
O -3.738 -4.878 6.225
O -9.554 0.208 0.049
O -7.464 -2.135 -0.537
Ba -8.341 -2.763 7.559
Ba -7.472 -6.661 8.744
Ba -7.803 -4.369 15.903
Ba -5.505 -0.188 7.377
Ba -4.089 2.052 3.469
Ba -7.645 -3.092 11.360
Ba -1.985 0.364 0.213
Ba -8.888 -8.901 12.651
Ba -5.332 -3.757 4.760
Ba -4.636 -4.086 8.562
Ba -10.991 -7.214 15.907
Ba -5.173 -2.480 0.217
```

Computed, not measured: a geometry-optimized Ba2OsClO4 structure at the GGA-PBE level of DFT.

## Properties
raw formation energy	-14.97	eV/f.u.
SG	C2/m

Structure (extended XYZ):
```
8
Lattice="3.494 0.000 0.000 1.747 4.959 0.187 1.747 0.847 9.330" Properties=species:S:1:pos:R:3 pbc="T T T"
O 3.494 5.349 7.700
O 3.494 2.022 9.022
O 3.494 3.785 0.494
O 3.494 0.458 1.817
Os 0.000 0.000 0.000
Ba 5.242 3.409 7.312
Ba 1.747 2.397 2.204
Cl 3.494 2.903 4.758
```

Computed, not measured: a geometry-optimized Ba5Os3ClO15 structure at the GGA-PBE level of DFT.

## Properties
raw formation energy	-46.20	eV/f.u.
SG	P6_3cm

Structure (extended XYZ):
```
48
Lattice="-10.203 2.253 3.802 1.308 -6.688 -8.785 0.422 -6.331 4.883" Properties=species:S:1:pos:R:3 pbc="T T T"
O -1.883 -5.605 0.326
O -6.842 -4.021 7.018
O -3.500 -4.308 -2.058
O -7.162 -2.790 4.432
O -7.826 -5.713 0.699
O -3.394 -4.431 1.978
O -0.130 -8.252 -3.257
O -3.478 -7.567 0.277
O -4.976 -6.404 1.915
O -3.770 -0.420 0.648
O -0.288 -8.136 -0.735
O -2.824 -1.789 3.001
O -1.466 -5.648 -6.329
O -0.802 -2.725 -2.596
O -0.471 -5.112 -3.363
O -5.172 -4.342 4.605
O -5.234 -4.006 -3.875
O -4.858 -8.018 -2.546
O -6.128 -5.586 -1.636
O -8.188 -2.576 0.592
O -8.498 -0.185 1.360
O -2.230 -6.912 2.871
O -5.600 -1.129 2.245
O 1.299 -10.344 -1.884
O -2.877 -9.583 -2.388
O -3.304 -6.369 -4.749
O 0.546 -4.406 -0.683
O -6.745 -2.832 -2.223
O -8.006 -5.599 3.220
O -4.998 -3.144 -0.420
Os -3.146 -6.231 1.549
Os 0.597 -3.939 -2.365
Os -5.949 -3.133 5.809
Os -5.358 -4.064 -2.014
Os 1.102 -8.609 -1.901
Os -3.864 -0.474 2.512
Ba -2.263 -2.879 -0.025
Ba -2.528 -3.723 -4.578
Ba -2.402 -4.257 4.763
Ba -7.365 -0.043 4.092
Ba -6.365 -0.743 -0.382
Ba 1.072 -6.596 -5.132
Ba 0.673 -6.646 1.401
Ba -6.154 -3.908 2.059
Ba -6.195 -8.110 0.095
Ba -2.317 -6.889 -2.136
Cl 0.247 -3.709 2.860
Cl 0.036 -0.543 0.419
```

Computed, not measured: a geometry-optimized Ba3OsCl2O6 structure at the GGA-PBE level of DFT.

## Properties
raw formation energy	-21.63	eV/f.u.
SG	C2/m

Structure (extended XYZ):
```
12
Lattice="-0.154 -3.191 -4.877 6.816 -1.744 0.925 -5.219 -4.599 2.566" Properties=species:S:1:pos:R:3 pbc="T T T"
O 1.962 -7.059 -0.546
O 5.210 -4.149 -2.294
O 0.414 -6.455 1.476
O 1.028 -3.079 -2.862
O -3.768 -5.385 0.908
O -0.519 -2.474 -0.840
Ba -2.687 -3.895 -1.156
Ba 0.721 -4.767 -0.693
Ba 3.408 -0.872 0.463
Cl -1.158 -5.980 -2.744
Cl 2.600 -3.554 1.358
Os -0.077 -1.595 -2.439
```

Computed, not measured: a geometry-optimized BaOsClO4 structure at the GGA-PBE level of DFT.

## Properties
raw formation energy	-11.07	eV/f.u.
SG	C2/m

Structure (extended XYZ):
```
14
Lattice="-3.404 -3.496 -4.977 4.593 -4.389 -2.868 -1.683 -6.521 3.621" Properties=species:S:1:pos:R:3 pbc="T T T"
O -0.030 -8.805 -3.616
O 1.481 -3.663 -1.609
O 0.271 -5.571 -3.385
O -0.465 -5.600 -0.608
O -0.765 -8.835 -0.839
O -1.975 -10.743 -2.615
O -1.228 -3.360 -2.323
O 0.733 -11.045 -1.901
Cl -0.357 -1.779 0.599
Cl -0.138 -12.626 -4.823
Os -0.499 -9.823 -2.267
Os 0.004 -4.583 -1.957
Ba 0.716 -7.097 -5.718
Ba -1.210 -7.309 1.494
```

Computed, not measured: a geometry-optimized Ba4Os6ClO18 structure at the GGA-PBE level of DFT.

## Properties
raw formation energy	-47.38	eV/f.u.
SG	I23

Structure (extended XYZ):
```
29
Lattice="8.213 0.000 0.000 -2.738 7.743 0.000 -2.738 -3.872 6.706" Properties=species:S:1:pos:R:3 pbc="T T T"
Ba -1.015 -1.435 2.486
Ba -1.015 2.870 0.000
Ba 1.723 2.437 4.220
Ba 3.044 0.000 0.000
O 2.425 -0.087 4.837
O 0.444 3.865 2.031
O 3.496 0.905 2.494
O 3.182 3.698 2.343
O 1.847 6.129 1.869
O 4.585 2.425 0.463
O -3.622 2.561 4.436
O -0.891 3.060 4.374
O -2.293 4.052 2.332
O -1.854 1.311 2.270
O 3.622 -2.561 4.436
O 5.163 -0.274 4.212
O -1.979 1.259 6.243
O 1.854 -1.311 2.270
O 1.854 2.622 0.000
O -0.312 0.361 4.363
O 3.622 5.122 0.000
O 0.758 -2.164 4.675
Os -0.736 4.767 3.353
Os 3.473 -0.895 3.353
Os -2.002 1.416 4.254
Os 2.002 4.392 0.901
Os 0.736 -0.520 5.805
Os 4.740 2.456 2.452
Cl 0.000 0.000 0.000
```

Computed, not measured: a geometry-optimized Ba8P3Cl3O structure at the GGA-PBE level of DFT.

## Properties
raw formation energy	-23.89	eV/f.u.
SG	R-3m

Structure (extended XYZ):
```
15
Lattice="-1.018 -8.440 -3.191 6.943 5.118 -2.833 0.021 -3.282 8.671" Properties=species:S:1:pos:R:3 pbc="T T T"
P -0.498 -5.861 2.740
P 2.973 -3.301 1.323
P 3.482 0.918 2.919
Ba -0.130 -2.932 1.660
Ba -0.665 -7.363 -0.016
Ba 6.611 0.760 2.663
Ba 3.311 -0.426 0.071
Ba 2.988 -4.676 -1.504
Ba 6.077 -3.671 0.987
Ba 2.636 -6.177 2.576
Ba 2.959 -1.926 4.151
Cl 0.000 0.000 0.000
Cl 3.472 2.559 -1.416
Cl 2.963 -1.661 -3.012
O 0.011 -1.641 4.335
```